The following is a DFT calculation (PBE) of crystalline CePd2Pt2 at its relaxed geometry.

uncorrected energy: -6.12 eV/atom
DOS(E_F): 4.613 states/eV/cell
energy of formation from the pure elements: -0.44 eV/atom
energy relative to the lowest polymorph listed for this composition: 0 meV per atom

Cell and atoms, written as extended XYZ:
```
5
Lattice="5.362 0.000 0.000 0.000 4.665 0.000 0.000 -2.332 4.040" Properties=species:S:1:pos:R:3 pbc="T T T"
Ce 0.000 0.000 0.000
Pd 3.454 2.332 1.347
Pd 1.908 0.000 2.693
Pt 0.832 2.332 1.347
Pt 4.530 0.000 2.693
```